Entry 1:
First-principles (GGA-PBEsol) data for a relaxed structure of YLuRh2, as listed in Alexandria.

a b c (Å): 4.7205 4.7205 4.7205
angles (deg): 60.00 60.00 60.00
Fractional coordinates of all 4 atoms:
1 Y 0.0000 0.0000 0.0000
2 Lu 0.5000 0.5000 0.5000
3 Rh 0.2500 0.2500 0.2500
4 Rh 0.7500 0.7500 0.7500

Its energy relative to the elements is -0.891 eV per atom. The value obtained for the spin magnetization is 0.00 Bohr magnetons per cell. The energy comes out at -7.884 eV per atom. Its symmetry is Fm-3m, No. 225.

---

Entry 2:
First-principles (GGA-PBEsol) data for a relaxed structure of LuZnRh, as listed in Alexandria.

a b c (Å): 6.7255 3.8806 7.9423
angles (deg): 90.00 90.00 90.00
Fractional coordinates of all 12 atoms:
1 Lu 0.0431 0.2500 0.1813
2 Lu 0.4569 0.7500 0.6813
3 Lu 0.5431 0.2500 0.3187
4 Lu 0.9569 0.7500 0.8187
5 Zn 0.1329 0.2500 0.5623
6 Zn 0.3671 0.7500 0.0623
7 Zn 0.6329 0.2500 0.9377
8 Zn 0.8671 0.7500 0.4377
9 Rh 0.2502 0.2500 0.8730
10 Rh 0.2498 0.7500 0.3730
11 Rh 0.7502 0.2500 0.6270
12 Rh 0.7498 0.7500 0.1270

Its energy relative to the elements is -0.741 eV per atom. The value obtained for the spin magnetization is 0.00 Bohr magnetons per cell. The energy comes out at -5.605 eV per atom. Its symmetry is Pnma, No. 62.

---

Entry 3:
First-principles (GGA-PBEsol) data for a relaxed structure of LuRu2, as listed in Alexandria.

a b c (Å): 5.1472 5.1472 8.6773
angles (deg): 90.00 90.00 120.00
Fractional coordinates of all 12 atoms:
1 Lu 0.3333 0.6667 0.0667
2 Lu 0.3333 0.6667 0.4333
3 Lu 0.6667 0.3333 0.5667
4 Lu 0.6667 0.3333 0.9333
5 Ru 0.0000 0.0000 0.0000
6 Ru 0.0000 0.0000 0.5000
7 Ru 0.1713 0.3425 0.7500
8 Ru 0.1713 0.8287 0.7500
9 Ru 0.3425 0.1713 0.2500
10 Ru 0.6575 0.8287 0.7500
11 Ru 0.8287 0.1713 0.2500
12 Ru 0.8287 0.6575 0.2500

Its energy relative to the elements is -0.364 eV per atom. The value obtained for the spin magnetization is 0.00 Bohr magnetons per cell. The energy comes out at -8.770 eV per atom. Its symmetry is P6_3/mmc, No. 194.

---

Entry 4:
First-principles (GGA-PBEsol) data for a relaxed structure of Lu2Si5Ru3, as listed in Alexandria.

a b c (Å): 10.5726 10.5726 5.4798
angles (deg): 90.00 90.00 90.00
Fractional coordinates of all 40 atoms:
1 Lu 0.0713 0.2364 0.0000
2 Lu 0.2364 0.9287 0.0000
3 Lu 0.2636 0.4287 0.5000
4 Lu 0.4287 0.7364 0.5000
5 Lu 0.5713 0.2636 0.5000
6 Lu 0.7364 0.5713 0.5000
7 Lu 0.7636 0.0713 0.0000
8 Lu 0.9287 0.7636 0.0000
9 Si 0.0000 0.0000 0.2408
10 Si 0.0000 0.0000 0.7592
11 Si 0.0271 0.3191 0.5000
12 Si 0.1742 0.6742 0.2500
13 Si 0.1742 0.6742 0.7500
14 Si 0.1809 0.4729 0.0000
15 Si 0.3191 0.9729 0.5000
16 Si 0.3258 0.1742 0.2500
17 Si 0.3258 0.1742 0.7500
18 Si 0.4729 0.8191 0.0000
19 Si 0.5000 0.5000 0.2592
20 Si 0.5000 0.5000 0.7408
21 Si 0.5271 0.1809 0.0000
22 Si 0.6742 0.8258 0.2500
23 Si 0.6742 0.8258 0.7500
24 Si 0.6809 0.0271 0.5000
25 Si 0.8191 0.5271 0.0000
26 Si 0.8258 0.3258 0.2500
27 Si 0.8258 0.3258 0.7500
28 Si 0.9729 0.6809 0.5000
29 Ru 0.0000 0.5000 0.2500
30 Ru 0.0000 0.5000 0.7500
31 Ru 0.1244 0.8562 0.5000
32 Ru 0.1438 0.1244 0.5000
33 Ru 0.3562 0.6244 0.0000
34 Ru 0.3756 0.3562 0.0000
35 Ru 0.5000 0.0000 0.2500
36 Ru 0.5000 0.0000 0.7500
37 Ru 0.6244 0.6438 0.0000
38 Ru 0.6438 0.3756 0.0000
39 Ru 0.8562 0.8756 0.5000
40 Ru 0.8756 0.1438 0.5000

The value obtained for the spin magnetization is 0.00 Bohr magnetons per cell. The uncorrected formation energy is -8.9 eV per formula unit. The energy comes out at -7.785 eV per atom. Its symmetry is P4/mnc, No. 128.

---

Entry 5:
First-principles (GGA-PBEsol) data for a relaxed structure of LuSiRu, as listed in Alexandria.

a b c (Å): 6.7802 4.2219 6.9854
angles (deg): 90.00 90.00 90.00
Fractional coordinates of all 12 atoms:
1 Lu 0.0112 0.2500 0.1878
2 Lu 0.4888 0.7500 0.6878
3 Lu 0.5112 0.2500 0.3122
4 Lu 0.9888 0.7500 0.8122
5 Si 0.1997 0.2500 0.6083
6 Si 0.3003 0.7500 0.1083
7 Si 0.6997 0.2500 0.8917
8 Si 0.8003 0.7500 0.3917
9 Ru 0.1558 0.7500 0.4360
10 Ru 0.3442 0.2500 0.9360
11 Ru 0.6558 0.7500 0.0640
12 Ru 0.8442 0.2500 0.5640

The value obtained for the spin magnetization is 0.00 Bohr magnetons per cell. The uncorrected formation energy is -2.7 eV per formula unit. The energy comes out at -7.829 eV per atom. Its symmetry is Pnma, No. 62.

---

Entry 6:
First-principles (GGA-PBEsol) data for a relaxed structure of SmLuRu2, as listed in Alexandria.

a b c (Å): 4.7256 4.7256 4.7256
angles (deg): 60.00 60.00 60.00
Fractional coordinates of all 4 atoms:
1 Sm 0.0000 0.0000 0.0000
2 Lu 0.5000 0.5000 0.5000
3 Ru 0.2500 0.2500 0.2500
4 Ru 0.7500 0.7500 0.7500

Its energy relative to the elements is -0.243 eV per atom. The value obtained for the spin magnetization is 0.00 Bohr magnetons per cell. The energy comes out at -7.821 eV per atom. Its symmetry is Fm-3m, No. 225.

---

Entry 7:
First-principles (GGA-PBEsol) data for a relaxed structure of YLuRu2, as listed in Alexandria.

a b c (Å): 4.6845 4.6845 4.6845
angles (deg): 60.00 60.00 60.00
Fractional coordinates of all 4 atoms:
1 Y 0.0000 0.0000 0.0000
2 Lu 0.5000 0.5000 0.5000
3 Ru 0.2500 0.2500 0.2500
4 Ru 0.7500 0.7500 0.7500

Its energy relative to the elements is -0.316 eV per atom. The value obtained for the spin magnetization is 0.00 Bohr magnetons per cell. The energy comes out at -8.325 eV per atom. Its symmetry is Fm-3m, No. 225.

---

Entry 8:
First-principles (GGA-PBEsol) data for a relaxed structure of Lu2ZnRu, as listed in Alexandria.

a b c (Å): 4.7268 4.7268 4.7268
angles (deg): 60.00 60.00 60.00
Fractional coordinates of all 4 atoms:
1 Lu 0.2500 0.2500 0.2500
2 Lu 0.7500 0.7500 0.7500
3 Zn 0.0000 0.0000 0.0000
4 Ru 0.5000 0.5000 0.5000

Its energy relative to the elements is -0.415 eV per atom. The value obtained for the spin magnetization is 0.00 Bohr magnetons per cell. The energy comes out at -5.789 eV per atom. Its symmetry is Fm-3m, No. 225.

---

Entry 9:
First-principles (GGA-PBEsol) data for a relaxed structure of LuZrRu2, as listed in Alexandria.

a b c (Å): 4.5927 4.5927 4.5927
angles (deg): 60.00 60.00 60.00
Fractional coordinates of all 4 atoms:
1 Lu 0.0000 0.0000 0.0000
2 Zr 0.5000 0.5000 0.5000
3 Ru 0.2500 0.2500 0.2500
4 Ru 0.7500 0.7500 0.7500

Its energy relative to the elements is -0.565 eV per atom. The value obtained for the spin magnetization is 0.00 Bohr magnetons per cell. The energy comes out at -9.142 eV per atom. Its symmetry is Fm-3m, No. 225.

---

Entry 10:
First-principles (GGA-PBEsol) data for a relaxed structure of Sm4Lu11S22, as listed in Alexandria.

a b c (Å): 19.0814 19.0814 11.0542
angles (deg): 91.45 91.45 11.49
Fractional coordinates of all 37 atoms:
1 Sm 0.1048 0.1048 0.0131
2 Sm 0.3680 0.3680 0.3510
3 Sm 0.6320 0.6320 0.6490
4 Sm 0.8952 0.8952 0.9869
5 Lu 0.0000 0.0000 0.0000
6 Lu 0.0704 0.0704 0.3592
7 Lu 0.2021 0.2021 0.9410
8 Lu 0.2648 0.2648 0.3530
9 Lu 0.3421 0.3421 0.6990
10 Lu 0.4614 0.4614 0.2683
11 Lu 0.5386 0.5386 0.7317
12 Lu 0.6579 0.6579 0.3010
13 Lu 0.7352 0.7352 0.6470
14 Lu 0.7979 0.7979 0.0590
15 Lu 0.9296 0.9296 0.6408
16 S 0.0083 0.0083 0.2398
17 S 0.0879 0.0879 0.7562
18 S 0.1356 0.1356 0.4528
19 S 0.1689 0.1689 0.1499
20 S 0.1879 0.1879 0.6908
21 S 0.2545 0.2545 0.1207
22 S 0.2799 0.2799 0.5913
23 S 0.3505 0.3505 0.0943
24 S 0.4072 0.4072 0.7890
25 S 0.4427 0.4427 0.4904
26 S 0.4527 0.4527 0.0287
27 S 0.5473 0.5473 0.9713
28 S 0.5573 0.5573 0.5096
29 S 0.5928 0.5928 0.2110
30 S 0.6495 0.6495 0.9057
31 S 0.7201 0.7201 0.4087
32 S 0.7455 0.7455 0.8793
33 S 0.8121 0.8121 0.3092
34 S 0.8311 0.8311 0.8501
35 S 0.8644 0.8644 0.5472
36 S 0.9121 0.9121 0.2438
37 S 0.9917 0.9917 0.7602

The value obtained for the spin magnetization is 0.00 Bohr magnetons per cell. The uncorrected formation energy is -79.1 eV per formula unit. The energy comes out at -6.744 eV per atom. Its symmetry is C2/m, No. 12.

---

Entry 11:
First-principles (GGA-PBEsol) data for a relaxed structure of Lu2ZnS4, as listed in Alexandria.

a b c (Å): 13.0957 7.6130 6.1766
angles (deg): 90.00 90.00 90.00
Fractional coordinates of all 28 atoms:
1 Lu 0.0000 0.0000 0.0000
2 Lu 0.0000 0.5000 0.0000
3 Lu 0.2360 0.2500 0.4980
4 Lu 0.2640 0.7500 0.9980
5 Lu 0.5000 0.0000 0.5000
6 Lu 0.5000 0.5000 0.5000
7 Lu 0.7360 0.2500 0.0020
8 Lu 0.7640 0.7500 0.5020
9 Zn 0.0917 0.7500 0.4091
10 Zn 0.4083 0.2500 0.9091
11 Zn 0.5917 0.7500 0.0909
12 Zn 0.9083 0.2500 0.5909
13 S 0.0725 0.2500 0.7463
14 S 0.0899 0.7500 0.7761
15 S 0.1689 0.5087 0.2410
16 S 0.1689 0.9913 0.2410
17 S 0.3311 0.0087 0.7410
18 S 0.3311 0.4913 0.7410
19 S 0.4101 0.2500 0.2761
20 S 0.4275 0.7500 0.2463
21 S 0.5725 0.2500 0.7537
22 S 0.5899 0.7500 0.7239
23 S 0.6689 0.5087 0.2590
24 S 0.6689 0.9913 0.2590
25 S 0.8311 0.0087 0.7590
26 S 0.8311 0.4913 0.7590
27 S 0.9101 0.2500 0.2239
28 S 0.9275 0.7500 0.2537

The value obtained for the spin magnetization is 0.00 Bohr magnetons per cell. The uncorrected formation energy is -12.0 eV per formula unit. The energy comes out at -5.837 eV per atom. Its symmetry is Pnma, No. 62.

---

Entry 12:
First-principles (GGA-PBEsol) data for a relaxed structure of Lu7Sb3, as listed in Alexandria.

a b c (Å): 11.7823 11.7823 11.7823
angles (deg): 97.86 97.86 136.59
Fractional coordinates of all 40 atoms:
1 Lu 0.0176 0.6635 0.6812
2 Lu 0.0312 0.8589 0.5000
3 Lu 0.1168 0.1233 0.2401
4 Lu 0.1233 0.8832 0.0064
5 Lu 0.1411 0.6411 0.1723
6 Lu 0.1635 0.5176 0.6812
7 Lu 0.2500 0.2500 0.0000
8 Lu 0.2500 0.7500 0.5000
9 Lu 0.3365 0.0176 0.3541
10 Lu 0.3589 0.5312 0.5000
11 Lu 0.3767 0.3832 0.7599
12 Lu 0.3832 0.6233 0.0064
13 Lu 0.4688 0.9688 0.8277
14 Lu 0.4824 0.1635 0.6459
15 Lu 0.5176 0.8365 0.3541
16 Lu 0.5312 0.0312 0.1723
17 Lu 0.6168 0.3767 0.9936
18 Lu 0.6233 0.6168 0.2401
19 Lu 0.6411 0.4688 0.5000
20 Lu 0.6635 0.9824 0.6459
21 Lu 0.7500 0.2500 0.5000
22 Lu 0.7500 0.7500 0.0000
23 Lu 0.8365 0.4824 0.3188
24 Lu 0.8589 0.3589 0.8277
25 Lu 0.8767 0.1168 0.9936
26 Lu 0.8832 0.8767 0.7599
27 Lu 0.9688 0.1411 0.5000
28 Lu 0.9824 0.3365 0.3188
29 Sb 0.0523 0.2500 0.8023
30 Sb 0.2205 0.7205 0.9409
31 Sb 0.2500 0.0523 0.8023
32 Sb 0.2500 0.4477 0.1977
33 Sb 0.2795 0.2205 0.5000
34 Sb 0.4477 0.2500 0.1977
35 Sb 0.5523 0.7500 0.8023
36 Sb 0.7205 0.7795 0.5000
37 Sb 0.7500 0.5523 0.8023
38 Sb 0.7500 0.9477 0.1977
39 Sb 0.7795 0.2795 0.0591
40 Sb 0.9477 0.7500 0.1977

The value obtained for the spin magnetization is 0.00 Bohr magnetons per cell. The uncorrected formation energy is -6.8 eV per formula unit. The energy comes out at -5.461 eV per atom. Its symmetry is I4/mcm, No. 140.

---

Entry 13:
First-principles (GGA-PBEsol) data for a relaxed structure of LuSb, as listed in Alexandria.

a b c (Å): 4.2417 4.2417 4.2417
angles (deg): 60.00 60.00 60.00
Fractional coordinates of all 2 atoms:
1 Lu 0.0000 0.0000 0.0000
2 Sb 0.5000 0.5000 0.5000

The value obtained for the spin magnetization is 0.00 Bohr magnetons per cell. The uncorrected formation energy is -2.1 eV per formula unit. The energy comes out at -5.762 eV per atom. Its symmetry is Fm-3m, No. 225.

---

Entry 14:
First-principles (GGA-PBEsol) data for a relaxed structure of Lu5Sb3, as listed in Alexandria.

a b c (Å): 7.8139 9.0346 11.3861
angles (deg): 90.00 90.00 90.00
Fractional coordinates of all 32 atoms:
1 Lu 0.0260 0.2500 0.0104
2 Lu 0.1456 0.7500 0.2847
3 Lu 0.1862 0.2500 0.2801
4 Lu 0.1943 0.0619 0.5598
5 Lu 0.1943 0.4381 0.5598
6 Lu 0.3057 0.5619 0.0598
7 Lu 0.3057 0.9381 0.0598
8 Lu 0.3138 0.7500 0.7801
9 Lu 0.3544 0.2500 0.7847
10 Lu 0.4740 0.7500 0.5104
11 Lu 0.5260 0.2500 0.4896
12 Lu 0.6456 0.7500 0.2153
13 Lu 0.6862 0.2500 0.2199
14 Lu 0.6943 0.0619 0.9402
15 Lu 0.6943 0.4381 0.9402
16 Lu 0.8057 0.5619 0.4402
17 Lu 0.8057 0.9381 0.4402
18 Lu 0.8138 0.7500 0.7199
19 Lu 0.8544 0.2500 0.7153
20 Lu 0.9740 0.7500 0.9896
21 Sb 0.0662 0.0035 0.8261
22 Sb 0.0662 0.4965 0.8261
23 Sb 0.0907 0.7500 0.5415
24 Sb 0.4093 0.2500 0.0415
25 Sb 0.4338 0.5035 0.3261
26 Sb 0.4338 0.9965 0.3261
27 Sb 0.5662 0.0035 0.6739
28 Sb 0.5662 0.4965 0.6739
29 Sb 0.5907 0.7500 0.9585
30 Sb 0.9093 0.2500 0.4585
31 Sb 0.9338 0.5035 0.1739
32 Sb 0.9338 0.9965 0.1739

The value obtained for the spin magnetization is 0.00 Bohr magnetons per cell. The uncorrected formation energy is -7.0 eV per formula unit. The energy comes out at -5.626 eV per atom. Its symmetry is Pnma, No. 62.

---

Entry 15:
First-principles (GGA-PBEsol) data for a relaxed structure of LuZrSb, as listed in Alexandria.

a b c (Å): 8.5889 8.5889 8.5889
angles (deg): 151.81 151.81 40.30
Fractional coordinates of all 6 atoms:
1 Lu 0.1756 0.1756 0.0000
2 Lu 0.8244 0.8244 0.0000
3 Zr 0.0000 0.5000 0.5000
4 Zr 0.5000 0.0000 0.5000
5 Sb 0.3636 0.3636 0.0000
6 Sb 0.6364 0.6364 0.0000

The value obtained for the spin magnetization is 0.00 Bohr magnetons per cell. The uncorrected formation energy is -2.4 eV per formula unit. The energy comes out at -6.966 eV per atom. Its symmetry is I4/mmm, No. 139.

---

Entry 16:
First-principles (GGA-PBEsol) data for a relaxed structure of LuSe2, as listed in Alexandria.

a b c (Å): 3.9612 3.9612 8.0405
angles (deg): 90.00 90.00 90.00
Fractional coordinates of all 6 atoms:
1 Lu 0.2500 0.2500 0.2276
2 Lu 0.7500 0.7500 0.7724
3 Se 0.2500 0.2500 0.8708
4 Se 0.2500 0.7500 0.5000
5 Se 0.7500 0.2500 0.5000
6 Se 0.7500 0.7500 0.1292

The value obtained for the spin magnetization is 0.00 Bohr magnetons per cell. The uncorrected formation energy is -4.6 eV per formula unit. The energy comes out at -5.731 eV per atom. Its symmetry is P4/nmm, No. 129.

---

Entry 17:
First-principles (GGA-PBEsol) data for a relaxed structure of SmLuSe3, as listed in Alexandria.

a b c (Å): 11.3483 4.0231 11.6633
angles (deg): 90.00 109.00 90.00
Fractional coordinates of all 20 atoms:
1 Sm 0.0497 0.2500 0.1981
2 Sm 0.3197 0.7500 0.9969
3 Sm 0.6803 0.2500 0.0031
4 Sm 0.9503 0.7500 0.8019
5 Lu 0.1574 0.2500 0.5812
6 Lu 0.4370 0.2500 0.3372
7 Lu 0.5630 0.7500 0.6628
8 Lu 0.8426 0.7500 0.4188
9 Se 0.0830 0.7500 0.4047
10 Se 0.1126 0.2500 0.9645
11 Se 0.1901 0.7500 0.7430
12 Se 0.2619 0.7500 0.2310
13 Se 0.3932 0.2500 0.5602
14 Se 0.4887 0.2500 0.1258
15 Se 0.5113 0.7500 0.8742
16 Se 0.6068 0.7500 0.4398
17 Se 0.7381 0.2500 0.7690
18 Se 0.8099 0.2500 0.2570
19 Se 0.8874 0.7500 0.0355
20 Se 0.9170 0.2500 0.5953

The value obtained for the spin magnetization is 0.00 Bohr magnetons per cell. The uncorrected formation energy is -9.4 eV per formula unit. The energy comes out at -6.186 eV per atom. Its symmetry is P2_1/m, No. 11.

---

Entry 18:
First-principles (GGA-PBEsol) data for a relaxed structure of LuTlSe2, as listed in Alexandria.

a b c (Å): 7.9673 7.9673 7.9673
angles (deg): 29.22 29.22 29.22
Fractional coordinates of all 4 atoms:
1 Lu 0.0000 0.0000 0.0000
2 Tl 0.5000 0.5000 0.5000
3 Se 0.2654 0.2654 0.2654
4 Se 0.7346 0.7346 0.7346

The value obtained for the spin magnetization is 0.00 Bohr magnetons per cell. The uncorrected formation energy is -5.3 eV per formula unit. The energy comes out at -5.136 eV per atom. Its symmetry is R-3m, No. 166.